[1]
A geometry-optimized MgRuCl structure, computed with PBE.

Summary:
E_tot = -3.62 eV/atom
density of states at the Fermi level = 18.24 states/eV per cell
raw formation energy = 0.62 eV per atom
crystal system = cubic

CIF file:
```
data_MgRuCl
_chemical_formula_sum 'Mg4 Ru4 Cl4'
_space_group_name_H-M_alt 'F -4 3 m'
_space_group_IT_number 216
_space_group_name_Hall 'F -4 2 3'
_cell_length_a 6.178
_cell_length_b 6.178
_cell_length_c 6.178
_cell_angle_alpha 90.00
_cell_angle_beta 90.00
_cell_angle_gamma 90.00
loop_
_atom_site_label
_atom_site_fract_x
_atom_site_fract_y
_atom_site_fract_z
Mg1 0.000 0.000 0.000
Ru1 0.250 0.250 0.250
Cl1 0.000 0.000 0.500
```

---

[2]
A geometry-optimized NbOs4 structure, computed with PBE.

Summary:
E_tot = -8.19 eV/atom
density of states at the Fermi level = 7.75 states/eV per cell
crystal system = cubic

CIF file:
```
data_NbOs4
_chemical_formula_sum 'Nb1 Os4'
_space_group_name_H-M_alt 'P m -3 m'
_space_group_IT_number 221
_space_group_name_Hall '-P 4 2 3'
_cell_length_a 4.642
_cell_length_b 4.642
_cell_length_c 4.642
_cell_angle_alpha 90.00
_cell_angle_beta 90.00
_cell_angle_gamma 90.00
loop_
_atom_site_label
_atom_site_fract_x
_atom_site_fract_y
_atom_site_fract_z
Nb1 0.000 0.000 0.000
Os1 0.000 0.000 0.500
Os2 0.500 0.500 0.500
```

---

[3]
A geometry-optimized KDy3Te4O12 structure, computed with PBE.

Summary:
E_tot = -6.14 eV/atom
density of states at the Fermi level = 9.45 states/eV per cell
raw formation energy = -1.79 eV per atom
crystal system = trigonal

CIF file:
```
data_KDy3Te4O12
_chemical_formula_sum 'K3 Dy9 Te12 O36'
_space_group_name_H-M_alt 'R 3 2'
_space_group_IT_number 155
_space_group_name_Hall 'R 3 2"'
_cell_length_a 11.6142
_cell_length_b 11.6142
_cell_length_c 9.1831
_cell_angle_alpha 90.00
_cell_angle_beta 90.00
_cell_angle_gamma 120.00
loop_
_atom_site_label
_atom_site_fract_x
_atom_site_fract_y
_atom_site_fract_z
K1 0.0000 0.0000 0.0000
Dy1 0.0000 0.5737 0.0000
Te1 0.0000 0.0000 0.5000
Te2 0.0000 0.4080 0.5000
O1 0.0000 0.5748 0.5000
O2 0.0000 0.8240 0.5000
O3 0.0394 0.1883 0.2464
```